The following is a PBE-GGA calculation of a relaxed structure of Ti2CdHPt, from the Alexandria database.

Unit cell a=3.9874 b=3.9874 c=4.3654 alpha=90.00 beta=90.00 gamma=90.00
Space group P4/mmm (No. 123)
Asymmetric unit:
Ti: 0.0000 0.5000 0.0000
Cd: 0.0000 0.0000 0.5000
H: 0.0000 0.0000 0.0000
Pt: 0.5000 0.5000 0.5000

Summary:
The value obtained for the mass density is 9.7 Mg/m³. As for the offset from the most stable computed form: 0.011 eV per atom. The value obtained for the uncorrected energy is -5.558 eV per atom.